A relaxed structure of CaCrP2. Source: the Alexandria database, functional GGA-PBE.

Values from the calculation:
Formation energy: -0.412 eV per atom
Energy relative to the lowest polymorph listed for this composition: 221.1 meV/atom
Electronic total energy: -24.09 eV per cell

a = 3.003 Å, b = 3.000 Å, c = 7.440 Å
α = 66.27°, β = 90.00°, γ = 90.00°
Fractional positions:
Ca  0.500  0.250  0.250
Cr  0.500  0.750  0.750
P  0.000  0.059  0.942
P  0.000  0.441  0.558